CaHg4Mo | PBE-GGA | relaxed

Cell and atoms, written as extended XYZ:
```
6
Lattice="3.2411 -4.6769 -1.3299 -1.6664 -3.5808 -4.3066 3.0063 -0.1429 -5.0088" Properties=species:S:1:pos:R:3 pbc="T T T"
Ca 0.0000 0.0000 0.0000
Hg 3.3352 -5.4847 -4.6589
Hg 3.2182 -3.2247 -6.4928
Hg 0.8890 -4.9384 -6.1428
Hg 1.7196 -3.1534 -3.9961
Mo 3.4357 -6.3004 -7.9840
```

Computed properties:
* VASP energy: -1.9786 eV per atom
* crystal system: cubic